Below is a geometry-optimized Li2Ir2Pt structure, with properties calculated at the GGA-PBE level.

Structure (POSCAR):
```
Li2Ir2Pt
1.0
-1.4491 1.4491 7.9357
1.4491 -1.4491 7.9357
1.4491 1.4491 -7.9357
Li Ir Pt
2 2 1
Direct
0.2500 0.7500 0.5000
0.7500 0.2500 0.5000
0.1135 0.1135 0.0000
0.8865 0.8865 0.0000
0.5000 0.5000 0.0000
```

Values from the calculation:
- formation enthalpy at 0 K (meV/atom) = 301
- space-group type = I4/mmm, No. 139
- magnetic moment (μB/f.u.) = 0.000
- distance to the lowest polymorph of the same formula (meV per atom) = 191.1